1.
Y2C3N6: relaxed, PBE-GGA.

Cell lengths 3.814, 5.253, 7.464 Å; angles 96.06, 104.80, 90.00 degrees
Sites, in units of the cell vectors:
Y 0.866 0.931 0.732
Y 0.134 0.069 0.268
C 0.328 0.407 0.657
C 0.672 0.593 0.343
C 0.000 0.500 0.000
N 0.989 0.264 0.977
N 0.690 0.831 0.380
N 0.656 0.360 0.312
N 0.011 0.736 0.023
N 0.310 0.169 0.620
N 0.344 0.640 0.688

Density ... 3.442 g cm⁻³
Uncorrected formation energy ... -781 meV per atom

***

2.
YC3N: relaxed, PBE-GGA.

Cell lengths 3.711, 3.711, 3.711 Å; angles 90.00, 90.00, 90.00 degrees
Sites, in units of the cell vectors:
Y 0.500 0.500 0.500
C 0.000 0.500 0.000
C 0.000 0.000 0.500
C 0.500 0.000 0.000
N 0.000 0.000 0.000

Polymorph energy (0 for the lowest one) ... 0.0000 eV/atom
Density ... 4.515 g cm⁻³
Uncorrected formation energy ... 2357 meV per atom

***

3.
YC2N3: relaxed, PBE-GGA.

Cell lengths 3.513, 7.261, 5.418 Å; angles 132.08, 90.00, 90.00 degrees
Sites, in units of the cell vectors:
Y 0.500 0.000 0.000
C 0.000 0.346 0.691
C 0.000 0.654 0.309
N 0.000 0.809 0.618
N 0.000 0.191 0.382
N 0.000 0.500 0.000

Density ... 2.509 g cm⁻³
Uncorrected formation energy ... 218 meV per atom

***

4.
Y4CN2: relaxed, PBE-GGA.

Cell lengths 7.172, 7.172, 10.151 Å; angles 90.00, 90.00, 90.00 degrees
Sites, in units of the cell vectors:
Y 0.253 0.982 0.505
Y 0.747 0.982 0.495
Y 0.018 0.253 0.755
Y 0.747 0.018 0.005
Y 0.253 0.490 0.991
Y 0.510 0.253 0.241
Y 0.490 0.747 0.741
Y 0.253 0.510 0.509
Y 0.747 0.490 0.009
Y 0.747 0.510 0.491
Y 0.490 0.253 0.759
Y 0.510 0.747 0.259
Y 0.982 0.253 0.245
Y 0.253 0.018 0.995
Y 0.982 0.747 0.255
Y 0.018 0.747 0.745
C 0.000 0.742 0.500
C 0.258 0.000 0.750
C 0.742 0.000 0.250
C 0.000 0.258 0.000
N 0.751 0.751 0.875
N 0.249 0.751 0.125
N 0.751 0.249 0.625
N 0.249 0.249 0.375
N 0.743 0.500 0.250
N 0.500 0.257 0.000
N 0.500 0.743 0.500
N 0.257 0.500 0.750

Polymorph energy (0 for the lowest one) ... 0.0000 eV/atom
Density ... 5.034 g cm⁻³
Uncorrected formation energy ... -931 meV per atom

***

5.
Y5CN4: relaxed, PBE-GGA.

Cell lengths 3.485, 3.485, 14.597 Å; angles 83.14, 83.14, 60.00 degrees
Sites, in units of the cell vectors:
Y 0.399 0.399 0.804
Y 0.000 0.000 0.000
Y 0.601 0.601 0.196
Y 0.798 0.798 0.607
Y 0.202 0.202 0.393
C 0.500 0.500 0.500
N 0.902 0.902 0.294
N 0.301 0.301 0.098
N 0.699 0.699 0.902
N 0.098 0.098 0.706

Density ... 5.596 g cm⁻³
Uncorrected formation energy ... -1333 meV per atom

***

6.
YC3N: relaxed, PBE-GGA.

Cell lengths 4.684, 4.684, 4.684 Å; angles 90.00, 90.00, 90.00 degrees
Each line ends with the local moment (μB).
Sites, in units of the cell vectors:
Y 0.000 0.000 0.000  -0.11
C 0.000 0.500 0.000  -0.33
C 0.000 0.000 0.500  -0.47
C 0.500 0.000 0.000  -0.30
N 0.500 0.500 0.500  1.71

Polymorph energy (0 for the lowest one) ... 1.5668 eV/atom
Density ... 2.244 g cm⁻³
Uncorrected formation energy ... 3924 meV per atom

***

7.
Y4CN2: relaxed, PBE-GGA.

Cell lengths 4.675, 4.675, 7.065 Å; angles 70.68, 70.68, 90.00 degrees
Sites, in units of the cell vectors:
Y 0.210 0.210 0.581
Y 0.790 0.790 0.419
Y 0.000 0.500 0.000
Y 0.500 0.000 0.000
C 0.000 0.000 0.000
N 0.381 0.381 0.237
N 0.619 0.619 0.763

Polymorph energy (0 for the lowest one) ... 0.5943 eV/atom
Density ... 4.814 g cm⁻³
Uncorrected formation energy ... -337 meV per atom

***

8.
Y8C3N: relaxed, PBE-GGA.

Cell lengths 7.173, 7.171, 7.363 Å; angles 119.21, 90.00, 120.01 degrees
Each line ends with the local moment (μB).
Sites, in units of the cell vectors:
Y 0.258 0.516 0.775  0.08
Y 0.742 0.484 0.225  0.08
Y 0.259 0.019 0.779  0.07
Y 0.760 0.019 0.779  0.07
Y 0.760 0.520 0.779  0.07
Y 0.240 0.480 0.221  0.07
Y 0.240 0.981 0.221  0.07
Y 0.741 0.981 0.221  0.07
C 0.500 0.000 0.000  -0.01
C 0.500 0.500 0.000  -0.01
C 0.000 0.500 0.000  -0.01
N 0.000 0.000 0.000  -0.01

Density ... 4.666 g cm⁻³
Uncorrected formation energy ... -502 meV per atom

***

9.
YCN3: relaxed, PBE-GGA.

Cell lengths 3.535, 3.535, 3.535 Å; angles 90.00, 90.00, 90.00 degrees
Sites, in units of the cell vectors:
Y 0.500 0.500 0.500
C 0.000 0.000 0.000
N 0.000 0.500 0.000
N 0.000 0.000 0.500
N 0.500 0.000 0.000

Density ... 5.373 g cm⁻³
Uncorrected formation energy ... 1173 meV per atom

***

10.
YC2N: relaxed, PBE-GGA.

Cell lengths 5.268, 5.268, 4.792 Å; angles 56.65, 56.65, 90.00 degrees
Sites, in units of the cell vectors:
Y 0.000 0.000 0.000
Y 0.750 0.250 0.500
C 0.502 0.125 0.250
C 0.248 0.625 0.250
C 0.375 0.498 0.750
C 0.875 0.752 0.750
N 0.500 0.500 0.000
N 0.250 0.750 0.500

Density ... 5.040 g cm⁻³
Uncorrected formation energy ... 1117 meV per atom

***

11.
YCN3: relaxed, PBE-GGA.

Cell lengths 3.666, 4.874, 7.303 Å; angles 90.00, 90.00, 67.97 degrees
Each line ends with the local moment (μB).
Sites, in units of the cell vectors:
Y 0.289 0.422 0.250  0.00
Y 0.711 0.578 0.750  0.00
C 0.000 0.000 0.000  0.01
C 0.000 0.000 0.500  0.01
N 0.867 0.265 0.459  0.06
N 0.133 0.735 0.541  0.06
N 0.133 0.735 0.959  0.06
N 0.867 0.265 0.041  0.06
N 0.575 0.850 0.250  1.20
N 0.425 0.150 0.750  1.20

Density ... 3.924 g cm⁻³
Uncorrected formation energy ... -86 meV per atom

***

12.
Yb2C3N6: relaxed, PBE-GGA.

Cell lengths 10.804, 10.804, 10.804 Å; angles 34.54, 34.54, 34.54 degrees
Each line ends with the local moment (μB).
Sites, in units of the cell vectors:
Yb 0.664 0.664 0.664  0.51
Yb 0.164 0.164 0.164  0.51
Yb 0.336 0.336 0.336  0.51
Yb 0.836 0.836 0.836  0.51
C 0.547 0.250 0.953  -0.02
C 0.250 0.953 0.547  -0.02
C 0.047 0.453 0.750  -0.02
C 0.453 0.750 0.047  -0.02
C 0.750 0.047 0.453  -0.02
C 0.953 0.547 0.250  -0.02
N 0.355 0.961 0.550  0.12
N 0.145 0.950 0.539  0.12
N 0.539 0.145 0.950  0.12
N 0.039 0.450 0.645  0.12
N 0.950 0.539 0.145  0.12
N 0.050 0.461 0.855  0.12
N 0.461 0.855 0.050  0.12
N 0.645 0.039 0.450  0.12
N 0.450 0.645 0.039  0.12
N 0.855 0.050 0.461  0.12
N 0.961 0.550 0.355  0.12
N 0.550 0.355 0.961  0.12

Density ... 4.280 g cm⁻³
Uncorrected formation energy ... -520 meV per atom